(1)
Crystalline LaCeHg5 at its relaxed geometry. Source: the Alexandria database, functional PBE.

abc: 4.858 4.858 8.535
angles: 90.00 90.00 90.00
Space group P4/mmm (No. 123)
Symmetry-distinct sites (fractional):
1 La 0.000 0.000 0.000 [1 per cell]
2 Ce 0.500 0.500 0.500 [1 per cell]
3 Hg 0.000 0.000 0.500 [1 per cell]
4 Hg 0.000 0.500 0.246 [4 per cell]

Calculated values
Total energy, eV/atom: -2.038
Spin magnetization, μB per formula unit: 1.15
ΔH_f (0 K), eV per atom: -0.2711

(2)
Crystalline LaCe2Hg at its relaxed geometry. Source: the Alexandria database, functional PBE.

abc: 3.579 3.579 9.257
angles: 90.00 90.00 90.00
Space group P4/mmm (No. 123)
Symmetry-distinct sites (fractional):
1 La 0.000 0.000 0.000 [1 per cell]
2 Ce 0.500 0.500 0.270 [2 per cell]
3 Hg 0.000 0.000 0.500 [1 per cell]

Calculated values
Excess energy over the best structure of this formula in the dataset, eV per formula unit: 0.07
Total energy, eV/atom: -4.347
Spin magnetization, μB per formula unit: 1.41
ΔH_f (0 K), eV per atom: -0.0728